[1]
Entry from Alexandria via LeMat-Bulk: CaCo2Pb after structural relaxation (PBE).

Calculated values
* spin magnetization: 0.00 μB per cell

a b c (Å): 4.473 4.473 3.529
angles (deg): 90.00 90.00 90.00
Space group P4/mmm (No. 123)
Symmetry-distinct sites (fractional):
Ca 0.000 0.000 0.000 [1 per cell]
Co 0.000 0.500 0.500 [2 per cell]
Pb 0.500 0.500 0.000 [1 per cell]

=====

[2]
Entry from Alexandria via LeMat-Bulk: CaCoPb after structural relaxation (PBE).

Calculated values
* spin magnetization: 1.33 μB per cell

a b c (Å): 3.468 3.468 11.073
angles (deg): 90.00 90.00 90.00
Space group I4mm (No. 107)
Symmetry-distinct sites (fractional):
Ca 0.000 0.000 0.000 [2 per cell]
Co 0.000 0.000 0.675 [2 per cell]
Pb 0.000 0.000 0.287 [2 per cell]

=====

[3]
Entry from Alexandria via LeMat-Bulk: Ca2TlCoPb after structural relaxation (PBE).

Calculated values
* spin magnetization: 0.00 μB per cell

a b c (Å): 5.382 5.382 4.955
angles (deg): 90.00 90.00 90.00
Space group P4/mmm (No. 123)
Symmetry-distinct sites (fractional):
Ca 0.000 0.500 0.000 [2 per cell]
Tl 0.000 0.000 0.500 [1 per cell]
Co 0.500 0.500 0.000 [1 per cell]
Pb 0.500 0.500 0.500 [1 per cell]

=====

[4]
Entry from Alexandria via LeMat-Bulk: CaVCoPb2 after structural relaxation (PBE).

Calculated values
* spin magnetization: 2.07 μB per cell

a b c (Å): 5.649 5.649 4.563
angles (deg): 90.00 90.00 90.00
Space group P4/mmm (No. 123)
Symmetry-distinct sites (fractional):
Ca 0.000 0.000 0.000 [1 per cell]
V 0.000 0.000 0.500 [1 per cell]
Co 0.500 0.500 0.500 [1 per cell]
Pb 0.000 0.500 0.000 [2 per cell]

=====

Which formation energy belongs to each record? In order, 0.36, 0.08, -0.09, 1.85 eV/atom.
Which total DFT energy (no corrections) belongs to each record? In order, -0.170, -0.154, -0.130, -0.120 Ha/atom.